Arrangement A

Entry from Alexandria: a relaxed SrBC3 crystal (PBE).

Values from the calculation:
space-group type	Pm-3m (221)

Cell lengths 4.722, 4.722, 4.722 Å; angles 90.00, 90.00, 90.00 degrees
Element x y z (fractional)
Sr  0.000  0.000  0.000
B  0.500  0.500  0.500
C  0.000  0.000  0.500
C  0.000  0.500  0.000
C  0.500  0.000  0.000



Arrangement B

Entry from Alexandria: a relaxed SrBC3 crystal (PBE).

Values from the calculation:
space-group type	Pm-3m (221)

Cell lengths 3.735, 3.735, 3.735 Å; angles 90.00, 90.00, 90.00 degrees
Element x y z (fractional)
Sr  0.000  0.000  0.000
B  0.500  0.500  0.500
C  0.000  0.500  0.500
C  0.500  0.000  0.500
C  0.500  0.500  0.000



It turns out arrangement B is the most stable, with the second structure 237.5 kJ/mol of atoms higher.



Arrangement A

Entry from Alexandria: a relaxed SrB3C3 crystal (PBE).

Values from the calculation:
space-group type	P6_3/mmc (194)

Cell lengths 6.367, 6.367, 5.648 Å; angles 90.00, 90.00, 120.00 degrees
Element x y z (fractional)
Sr  0.333  0.667  0.250
Sr  0.667  0.333  0.750
B  0.183  0.365  0.750
B  0.183  0.817  0.750
B  0.365  0.183  0.250
B  0.635  0.817  0.750
B  0.817  0.183  0.250
B  0.817  0.635  0.250
C  0.139  0.570  0.750
C  0.430  0.570  0.750
C  0.430  0.861  0.750
C  0.570  0.139  0.250
C  0.570  0.430  0.250
C  0.861  0.430  0.250



Arrangement B

Entry from Alexandria: a relaxed SrB3C3 crystal (PBE).

Values from the calculation:
space-group type	Pm-3n (223)

Cell lengths 4.887, 4.887, 4.887 Å; angles 90.00, 90.00, 90.00 degrees
Element x y z (fractional)
Sr  0.000  0.000  0.000
Sr  0.500  0.500  0.500
B  0.000  0.250  0.500
B  0.000  0.750  0.500
B  0.250  0.500  0.000
B  0.500  0.000  0.250
B  0.500  0.000  0.750
B  0.750  0.500  0.000
C  0.000  0.500  0.250
C  0.000  0.500  0.750
C  0.250  0.000  0.500
C  0.500  0.250  0.000
C  0.500  0.750  0.000
C  0.750  0.000  0.500



It turns out arrangement B is the most stable, with the second structure 99.1 kJ/mol of atoms higher.



Arrangement A

Entry from Alexandria: a relaxed Ta4BC2 crystal (PBE).

Values from the calculation:
space-group type	Cmcm (63)

Cell lengths 5.363, 5.363, 10.749 Å; angles 90.00, 90.00, 145.26 degrees
Element x y z (fractional)
Ta  0.000  0.000  0.000
Ta  0.000  0.000  0.500
Ta  0.274  0.726  0.617
Ta  0.274  0.726  0.883
Ta  0.444  0.556  0.250
Ta  0.556  0.444  0.750
Ta  0.726  0.274  0.117
Ta  0.726  0.274  0.383
B  0.105  0.895  0.250
B  0.895  0.105  0.750
C  0.362  0.638  0.065
C  0.362  0.638  0.435
C  0.638  0.362  0.565
C  0.638  0.362  0.935



Arrangement B

Entry from Alexandria: a relaxed Ta4BC2 crystal (PBE).

Values from the calculation:
space-group type	P-1 (2)

Cell lengths 3.188, 5.522, 5.979 Å; angles 116.47, 105.38, 90.14 degrees
Element x y z (fractional)
Ta  0.128  0.460  0.255
Ta  0.369  0.027  0.737
Ta  0.631  0.973  0.263
Ta  0.872  0.540  0.745
B  0.000  0.000  0.000
C  0.260  0.269  0.520
C  0.740  0.731  0.480



It turns out arrangement A is the most stable, with the second structure 7.1 kJ/mol of atoms higher.



Arrangement A

Entry from Alexandria: a relaxed Ta2BC crystal (PBE).

Values from the calculation:
space-group type	Cmcm (63)

Cell lengths 9.222, 9.222, 3.148 Å; angles 90.00, 90.00, 159.92 degrees
Element x y z (fractional)
Ta  0.072  0.928  0.750
Ta  0.308  0.692  0.750
Ta  0.692  0.308  0.250
Ta  0.928  0.072  0.250
B  0.474  0.526  0.750
B  0.526  0.474  0.250
C  0.190  0.810  0.750
C  0.810  0.190  0.250



Arrangement B

Entry from Alexandria: a relaxed Ta2BC crystal (PBE).

Values from the calculation:
space-group type	I-42d (122)

Cell lengths 6.040, 6.040, 6.040 Å; angles 131.97, 131.97, 70.28 degrees
Element x y z (fractional)
Ta  0.111  0.625  0.986
Ta  0.375  0.361  0.486
Ta  0.639  0.125  0.014
Ta  0.875  0.889  0.514
B  0.250  0.750  0.500
B  0.500  0.500  0.000
C  0.000  0.000  0.000
C  0.750  0.250  0.500



It turns out arrangement A is the most stable, with the second structure 85.4 kJ/mol of atoms higher.



Arrangement A

Entry from Alexandria: a relaxed Ta4BC crystal (PBE).

Values from the calculation:
space-group type	I4_1md (109)

Cell lengths 6.137, 6.137, 6.137 Å; angles 106.18, 106.18, 116.27 degrees
Element x y z (fractional)
Ta  0.202  0.000  0.202
Ta  0.241  0.535  0.294
Ta  0.241  0.947  0.706
Ta  0.285  0.491  0.794
Ta  0.697  0.491  0.206
Ta  0.750  0.048  0.298
Ta  0.750  0.452  0.702
Ta  0.798  0.000  0.798
B  0.493  0.993  0.500
B  0.743  0.743  0.000
C  0.249  0.249  0.000
C  0.999  0.499  0.500



Arrangement B

Entry from Alexandria: a relaxed Ta4BC crystal (PBE).

Values from the calculation:
space-group type	P2/m (10)

Cell lengths 5.013, 3.143, 5.472 Å; angles 90.00, 90.47, 90.00 degrees
Element x y z (fractional)
Ta  0.241  0.000  0.168
Ta  0.248  0.500  0.662
Ta  0.752  0.500  0.338
Ta  0.759  0.000  0.832
B  0.500  0.500  0.000
C  0.500  0.000  0.500



It turns out arrangement B is the most stable, with the second structure 8.4 kJ/mol of atoms higher.



Arrangement A

Entry from Alexandria: a relaxed Ta3BC crystal (PBE).

Values from the calculation:
space-group type	Pm-3m (221)

Cell lengths 4.192, 4.192, 4.192 Å; angles 90.00, 90.00, 90.00 degrees
Element x y z (fractional)
Ta  0.000  0.000  0.500
Ta  0.000  0.500  0.000
Ta  0.500  0.000  0.000
B  0.500  0.500  0.500
C  0.000  0.000  0.000



Arrangement B

Entry from Alexandria: a relaxed Ta3BC crystal (PBE).

Values from the calculation:
space-group type	Pmmn (59)

Cell lengths 3.260, 5.474, 7.405 Å; angles 90.00, 90.00, 90.00 degrees
Element x y z (fractional)
Ta  0.250  0.006  0.169
Ta  0.250  0.250  0.556
Ta  0.250  0.494  0.169
Ta  0.750  0.506  0.831
Ta  0.750  0.750  0.444
Ta  0.750  0.994  0.831
B  0.250  0.750  0.664
B  0.750  0.250  0.336
C  0.250  0.250  0.916
C  0.750  0.750  0.084



It turns out arrangement B is the most stable, with the second structure 81.6 kJ/mol of atoms higher.



Arrangement A

Entry from Alexandria: a relaxed Tc2B2C crystal (PBE).

Values from the calculation:
space-group type	I4/mmm (139)

Cell lengths 6.357, 6.357, 6.357 Å; angles 154.73, 154.73, 36.04 degrees
Element x y z (fractional)
Tc  0.105  0.105  0.000
Tc  0.895  0.895  0.000
B  0.250  0.750  0.500
B  0.750  0.250  0.500
C  0.500  0.500  0.000



Arrangement B

Entry from Alexandria: a relaxed Tc2B2C crystal (PBE).

Values from the calculation:
space-group type	P4/mbm (127)

Cell lengths 5.686, 5.686, 3.075 Å; angles 90.00, 90.00, 90.00 degrees
Element x y z (fractional)
Tc  0.181  0.319  0.000
Tc  0.319  0.819  0.000
Tc  0.681  0.181  0.000
Tc  0.819  0.681  0.000
B  0.108  0.608  0.500
B  0.392  0.108  0.500
B  0.608  0.892  0.500
B  0.892  0.392  0.500
C  0.000  0.000  0.000
C  0.500  0.500  0.000



It turns out arrangement B is the most stable, with the second structure 3.7 kJ/mol of atoms higher.



Arrangement A

Entry from Alexandria: a relaxed TcBC3 crystal (PBE).

Values from the calculation:
space-group type	Pm-3m (221)

Cell lengths 3.437, 3.437, 3.437 Å; angles 90.00, 90.00, 90.00 degrees
Element x y z (fractional)
Tc  0.000  0.000  0.000
B  0.500  0.500  0.500
C  0.000  0.500  0.500
C  0.500  0.000  0.500
C  0.500  0.500  0.000



Arrangement B

Entry from Alexandria: a relaxed TcBC3 crystal (PBE).

Values from the calculation:
space-group type	Pm-3m (221)

Cell lengths 4.009, 4.009, 4.009 Å; angles 90.00, 90.00, 90.00 degrees
Element x y z (fractional)
Tc  0.000  0.000  0.000
B  0.500  0.500  0.500
C  0.000  0.000  0.500
C  0.000  0.500  0.000
C  0.500  0.000  0.000



It turns out arrangement A is the most stable, with the second structure 48.3 kJ/mol of atoms higher.